Record 1
Below is an optimized crystal structure of La2PmSmGa2, with properties calculated at the GGA-PBE level.

Computed properties:
Formation energy   -407 meV per atom
N(E_F)   1.041 states/eV per atom
Calculated total energy   -55.643 eV/cell

Cell lengths 5.2011, 6.7596, 9.7704 Å; angles 90.00, 90.00, 90.00 degrees
With the nearest neighbours (Å) after each atom.
Element x y z (fractional)
La 0.5000 0.0206 0.0566  3 Ga 3.18-3.24, 4 La 3.47-3.56, 1 Pm 3.48
La 0.0000 0.3185 0.1695  5 Ga 3.21-3.56, 2 La 3.47, 1 Sm 3.48
La 0.5000 0.5206 0.9434  3 Ga 3.18-3.24, 4 La 3.47-3.56, 1 Pm 3.48
La 0.0000 0.8185 0.8305  5 Ga 3.21-3.56, 2 La 3.47, 1 Sm 3.48
Pm 0.5000 0.1964 0.6670  4 Ga 3.04-3.21
Pm 0.5000 0.6964 0.3330  4 Ga 3.04-3.21
Sm 0.0000 0.9942 0.4460  3 Ga 3.12-3.15, 2 Pm 3.47, 1 La 3.48
Sm 0.0000 0.4942 0.5540  3 Ga 3.12-3.15, 2 Pm 3.47, 1 La 3.48
Ga 0.0000 0.2927 0.8414  1 Sm 3.12, 2 Pm 3.18, 4 La 3.18-3.21
Ga 0.5000 0.2231 0.3567  2 Pm 3.04-3.21, 2 Sm 3.15, 3 La 3.24
Ga 0.0000 0.7927 0.1586  1 Sm 3.12, 2 Pm 3.18, 4 La 3.18-3.21
Ga 0.5000 0.7231 0.6433  2 Pm 3.04-3.21, 2 Sm 3.15, 3 La 3.24



Record 2
Below is an optimized crystal structure of LaPm5Pr2Ho, with properties calculated at the GGA-PBE level.

Computed properties:
Formation energy   260 meV per atom
N(E_F)   1.445 states/eV per atom
Calculated total energy   -80.960 eV/cell

Cell lengths 8.9075, 8.9075, 10.1776 Å; angles 115.95, 115.95, 90.00 degrees
With the nearest neighbours (Å) after each atom.
Element x y z (fractional)
La 0.2500 0.2500 0.5000  10 Pm 3.66-4.00
La 0.7500 0.7500 0.5000  10 Pm 3.66-4.00
Pm 0.9289 0.4289 0.2768  1 Pr 3.10, 1 Ho 3.19
Pm 0.6520 0.1520 0.7232  1 Pr 3.10, 1 Ho 3.19
Pm 0.0711 0.5711 0.7232  1 Pr 3.10, 1 Ho 3.19
Pm 0.1520 0.0711 0.7232  1 Pr 3.10, 1 Ho 3.19
Pm 0.5711 0.6520 0.7232  1 Pr 3.10, 1 Ho 3.19
Pm 0.8480 0.9289 0.2768  1 Pr 3.10, 1 Ho 3.19
Pm 0.4289 0.3480 0.2768  1 Pr 3.10, 1 Ho 3.19
Pm 0.3480 0.8480 0.2768  1 Pr 3.10, 1 Ho 3.19
Pm 0.5000 0.5000 0.0000  4 Pr 3.56, 8 Pm 3.88
Pm 0.0000 0.0000 0.0000  4 Pr 3.56, 8 Pm 3.88
Pr 0.1183 0.3817 0.0000  1 Pr 2.98, 2 Pm 3.10
Pr 0.6183 0.1183 0.0000  1 Pr 2.98, 2 Pm 3.10
Pr 0.3817 0.8817 0.0000  1 Pr 2.98, 2 Pm 3.10
Pr 0.8817 0.6183 0.0000  1 Pr 2.98, 2 Pm 3.10
Ho 0.2500 0.7500 0.5000  4 Pm 3.19
Ho 0.7500 0.2500 0.5000  4 Pm 3.19



Record 3
Below is an optimized crystal structure of LaDy2Au4, with properties calculated at the GGA-PBE level.

Computed properties:
Formation energy   -603 meV per atom
N(E_F)   0.775 states/eV per atom
Calculated total energy   -31.463 eV/cell

Cell lengths 5.1142, 5.1142, 6.9479 Å; angles 90.00, 90.00, 90.00 degrees
With the nearest neighbours (Å) after each atom.
Element x y z (fractional)
Dy 0.0000 0.0000 0.0000  8 Au 3.13
Dy 0.5000 0.5000 0.5000  8 Au 3.05
Au 0.5000 0.0000 0.2606  4 Dy 3.05-3.13, 2 La 3.13, 1 Au 3.33
Au 0.0000 0.5000 0.7394  4 Dy 3.05-3.13, 2 La 3.13, 1 Au 3.33
Au 0.5000 0.0000 0.7394  4 Dy 3.05-3.13, 2 La 3.13, 1 Au 3.33
Au 0.0000 0.5000 0.2606  4 Dy 3.05-3.13, 2 La 3.13, 1 Au 3.33
La 0.5000 0.5000 0.0000  8 Au 3.13, 2 Dy 3.47



Record 4
Below is an optimized crystal structure of CuNiBi3, with properties calculated at the GGA-PBE level.

Computed properties:
Formation energy   534 meV per atom
N(E_F)   0.646 states/eV per atom
Calculated total energy   -18.850 eV/cell
E above lowest polymorph   0 meV/atom

Cell lengths 5.1405, 5.1405, 5.1405 Å; angles 90.00, 90.00, 90.00 degrees
With the nearest neighbours (Å) after each atom.
Element x y z (fractional)
Ni 0.0000 0.0000 0.0000  6 Bi 2.57
Bi 0.0000 0.5000 0.0000  2 Ni 2.57
Bi 0.0000 0.0000 0.5000  2 Ni 2.57
Bi 0.5000 0.0000 0.0000  2 Ni 2.57
Cu 0.5000 0.5000 0.5000  12 Bi 3.63



Record 5
Below is an optimized crystal structure of Ca2CdCo, with properties calculated at the GGA-PBE level.

Computed properties:
Formation energy   268 meV per atom
N(E_F)   1.727 states/eV per atom
Calculated total energy   -10.954 eV/cell

Cell lengths 5.0484, 5.0484, 5.0484 Å; angles 60.00, 60.00, 60.00 degrees
With the nearest neighbours (Å) after each atom.
Element x y z (fractional)
Ca 0.0000 0.0000 0.0000  4 Co 3.09, 4 Ca 3.09
Ca 0.2500 0.2500 0.2500  4 Ca 3.09, 4 Cd 3.09
Co 0.7500 0.7500 0.7500  4 Cd 3.09, 4 Ca 3.09
Cd 0.5000 0.5000 0.5000  4 Co 3.09, 4 Ca 3.09



Record 6
Below is an optimized crystal structure of LuGaH, with properties calculated at the GGA-PBE level.

Computed properties:
N(E_F)   0.457 states/eV per atom
Calculated total energy   -12.086 eV/cell
E above lowest polymorph   0 meV/atom

Cell lengths 4.8185, 3.4820, 3.4820 Å; angles 120.00, 90.00, 90.00 degrees
With the nearest neighbours (Å) after each atom.
Element x y z (fractional)
H 0.1669 0.3333 0.6667  3 Lu 2.01
Lu 0.1666 0.0000 0.0000  3 H 2.01
Ga 0.6665 0.6667 0.3333  6 H 3.14, 6 Lu 3.14, 6 Ga 3.48



Record 7
Below is an optimized crystal structure of Nd4Ho4Cd, with properties calculated at the GGA-PBE level.

Computed properties:
Formation energy   -17 meV per atom
N(E_F)   1.315 states/eV per atom
Calculated total energy   -38.453 eV/cell

Cell lengths 4.9853, 7.9604, 7.9604 Å; angles 84.37, 71.75, 71.75 degrees
With the nearest neighbours (Å) after each atom.
Element x y z (fractional)
Nd 0.6640 0.6721 0.0000  4 Nd 3.51-3.60, 2 Cd 3.52, 6 Ho 3.55-3.59
Nd 0.3360 0.3279 0.0000  4 Nd 3.51-3.60, 2 Cd 3.52, 6 Ho 3.55-3.59
Nd 0.6640 0.0000 0.6721  4 Nd 3.51-3.60, 2 Cd 3.52, 6 Ho 3.55-3.59
Nd 0.3360 0.0000 0.3279  4 Nd 3.51-3.60, 2 Cd 3.52, 6 Ho 3.55-3.59
Ho 0.6650 0.3350 0.3349  5 Ho 3.53, 6 Nd 3.55-3.59, 1 Cd 3.58
Ho 0.3350 0.6650 0.6651  5 Ho 3.53, 6 Nd 3.55-3.59, 1 Cd 3.58
Ho 0.0000 0.6651 0.3350  5 Ho 3.53, 6 Nd 3.55-3.59, 1 Cd 3.58
Ho 0.0000 0.3349 0.6650  5 Ho 3.53, 6 Nd 3.55-3.59, 1 Cd 3.58
Cd 0.0000 0.0000 0.0000  8 Nd 3.52, 4 Ho 3.58



Record 8
Below is an optimized crystal structure of TaMo2HIr, with properties calculated at the GGA-PBE level.

Computed properties:
N(E_F)   0.732 states/eV per atom
Calculated total energy   -46.126 eV/cell
E above lowest polymorph   32 meV/atom

Cell lengths 4.0252, 4.0252, 4.0867 Å; angles 90.00, 90.00, 90.00 degrees
With the nearest neighbours (Å) after each atom.
Element x y z (fractional)
H 0.0000 0.0000 0.0000  4 Mo 2.01, 2 Ir 2.04
Mo 0.0000 0.5000 0.0000  2 H 2.01
Mo 0.5000 0.0000 0.0000  2 H 2.01
Ir 0.0000 0.0000 0.5000  2 H 2.04
Ta 0.5000 0.5000 0.5000  4 Ir 2.85, 8 Mo 2.87



Record 9
Below is an optimized crystal structure of MgFePd5, with properties calculated at the GGA-PBE level.

Computed properties:
Formation energy   178 meV per atom
N(E_F)   0.706 states/eV per atom
Calculated total energy   -34.777 eV/cell

Cell lengths 7.0150, 6.9477, 5.5691 Å; angles 128.59, 129.04, 90.00 degrees
With the nearest neighbours (Å) after each atom.
Element x y z (fractional)
Mg 0.8359 0.5000 0.0000  3 Pd 2.42-2.54
Fe 0.6928 0.0000 0.0000  6 Pd 2.52-2.66
Pd 0.2691 0.2423 0.4847  5 Pd 2.50-2.76, 1 Mg 2.54, 1 Fe 2.66
Pd 0.1813 0.5000 0.0000  1 Mg 2.42, 2 Fe 2.58, 2 Pd 2.61
Pd 0.7844 0.7577 0.5153  5 Pd 2.50-2.76, 1 Mg 2.54, 1 Fe 2.66
Pd 0.3836 0.8147 0.0000  1 Fe 2.52, 4 Pd 2.57-2.75
Pd 0.3836 0.1853 0.0000  1 Fe 2.52, 4 Pd 2.57-2.75



Record 10
Below is an optimized crystal structure of RbTmAs2O6, with properties calculated at the GGA-PBE level.

Computed properties:
N(E_F)   0.089 states/eV per atom
Calculated total energy   -62.414 eV/cell
Uncorrected formation energy   -173.0 kJ/mol of atoms

Cell lengths 5.8156, 5.8156, 7.0229 Å; angles 65.54, 65.54, 60.00 degrees
With the nearest neighbours (Å) after each atom.
Element x y z (fractional)
Rb 0.0000 0.0000 0.0000  6 O 3.03
Tm 0.5000 0.5000 0.5000  6 O 2.23
As 0.7380 0.7380 0.7859  3 O 1.73
As 0.2620 0.2620 0.2141  3 O 1.73
O 0.0789 0.5231 0.7033  1 As 1.73
O 0.6946 0.0789 0.7033  1 As 1.73
O 0.4769 0.3054 0.2967  1 As 1.73
O 0.9211 0.4769 0.2967  1 As 1.73
O 0.3054 0.9211 0.2967  1 As 1.73
O 0.5231 0.6946 0.7033  1 As 1.73